VASP calculation (PBE-GGA) on Hf3Sn after structural relaxation.

a b c (Å): 3.218 5.430 5.962
angles (deg): 117.09 105.66 90.00
Element x y z (fractional)
1 Hf 0.255 0.594 0.511
2 Hf 0.500 0.487 0.000
3 Hf 0.745 0.083 0.489
4 Sn 0.000 0.003 0.000

Summary:
Calculated formation energy ... -4.062 kcal/mol of atoms
Symmetry ... Imm2 (44)
Size of the total moment ... 0.0 μB per cell
Final energy ... -8.6419 eV per atom